# 1
A geometry-optimized EuErSc structure, computed with PBE.

ρ	6.6	Mg/m³
E	-20.83	eV for the cell shown
excess energy over the best structure of this formula in the dataset	2	meV/atom
energy of formation from the pure elements	0.11	eV per atom
space-group type	P3m1

```
data_EuErSc
_cell_length_a 3.5233
_cell_length_b 3.5233
_cell_length_c 8.5828
_cell_angle_alpha 90.00
_cell_angle_beta 90.00
_cell_angle_gamma 120.00
_space_group_name_H-M_alt 'P 1'
_space_group_IT_number 1
loop_
_space_group_symop_operation_xyz
'x,y,z'
loop_
_atom_site_label
_atom_site_type_symbol
_atom_site_fract_x
_atom_site_fract_y
_atom_site_fract_z
Eu1 Eu 0.0000 0.0000 0.0000
Er1 Er 0.3333 0.6667 0.6400
Sc1 Sc 0.6667 0.3333 0.3380
```

=====

# 2
A geometry-optimized EuEr2Sc structure, computed with PBE.

ρ	7.1	Mg/m³
E	-25.02	eV for the cell shown
excess energy over the best structure of this formula in the dataset	96	meV/atom
energy of formation from the pure elements	0.18	eV per atom
space-group type	R-3m

```
data_EuEr2Sc
_cell_length_a 12.2947
_cell_length_b 12.2947
_cell_length_c 12.2947
_cell_angle_alpha 16.12
_cell_angle_beta 16.12
_cell_angle_gamma 16.12
_space_group_name_H-M_alt 'P 1'
_space_group_IT_number 1
loop_
_space_group_symop_operation_xyz
'x,y,z'
loop_
_atom_site_label
_atom_site_type_symbol
_atom_site_fract_x
_atom_site_fract_y
_atom_site_fract_z
Eu1 Eu 0.0000 0.0000 0.0000
Er1 Er 0.0938 0.0938 0.0938
Er2 Er 0.9062 0.9062 0.9062
Sc1 Sc 0.5000 0.5000 0.5000
```

=====

# 3
A geometry-optimized EuErSc2 structure, computed with PBE.

ρ	5.9	Mg/m³
E	-26.80	eV for the cell shown
excess energy over the best structure of this formula in the dataset	49	meV/atom
energy of formation from the pure elements	0.17	eV per atom
space-group type	Fm-3m

```
data_EuErSc2
_cell_length_a 5.4587
_cell_length_b 5.4587
_cell_length_c 5.4587
_cell_angle_alpha 60.00
_cell_angle_beta 60.00
_cell_angle_gamma 60.00
_space_group_name_H-M_alt 'P 1'
_space_group_IT_number 1
loop_
_space_group_symop_operation_xyz
'x,y,z'
loop_
_atom_site_label
_atom_site_type_symbol
_atom_site_fract_x
_atom_site_fract_y
_atom_site_fract_z
Eu1 Eu 0.0000 0.0000 0.0000
Er1 Er 0.5000 0.5000 0.5000
Sc1 Sc 0.2500 0.2500 0.2500
Sc2 Sc 0.7500 0.7500 0.7500
```

=====

# 4
A geometry-optimized EuErSc2 structure, computed with PBE.

ρ	5.9	Mg/m³
E	-26.81	eV for the cell shown
excess energy over the best structure of this formula in the dataset	48	meV/atom
energy of formation from the pure elements	0.17	eV per atom
space-group type	P4/mmm

```
data_EuErSc2
_cell_length_a 5.4609
_cell_length_b 5.4609
_cell_length_c 3.8569
_cell_angle_alpha 90.00
_cell_angle_beta 90.00
_cell_angle_gamma 90.00
_space_group_name_H-M_alt 'P 1'
_space_group_IT_number 1
loop_
_space_group_symop_operation_xyz
'x,y,z'
loop_
_atom_site_label
_atom_site_type_symbol
_atom_site_fract_x
_atom_site_fract_y
_atom_site_fract_z
Eu1 Eu 0.0000 0.0000 0.0000
Er1 Er 0.5000 0.5000 0.0000
Sc1 Sc 0.0000 0.5000 0.5000
Sc2 Sc 0.5000 0.0000 0.5000
```

=====

# 5
A geometry-optimized EuErSc2 structure, computed with PBE.

ρ	5.8	Mg/m³
E	-26.13	eV for the cell shown
excess energy over the best structure of this formula in the dataset	217	meV/atom
energy of formation from the pure elements	0.34	eV per atom
space-group type	R-3m

```
data_EuErSc2
_cell_length_a 12.2572
_cell_length_b 12.2572
_cell_length_c 12.2572
_cell_angle_alpha 15.69
_cell_angle_beta 15.69
_cell_angle_gamma 15.69
_space_group_name_H-M_alt 'P 1'
_space_group_IT_number 1
loop_
_space_group_symop_operation_xyz
'x,y,z'
loop_
_atom_site_label
_atom_site_type_symbol
_atom_site_fract_x
_atom_site_fract_y
_atom_site_fract_z
Eu1 Eu 0.0000 0.0000 0.0000
Er1 Er 0.5000 0.5000 0.5000
Sc1 Sc 0.4133 0.4133 0.4133
Sc2 Sc 0.5867 0.5867 0.5867
```

=====

# 6
A geometry-optimized EuErSc structure, computed with PBE.

ρ	6.5	Mg/m³
E	-20.84	eV for the cell shown
excess energy over the best structure of this formula in the dataset	0	meV/atom
energy of formation from the pure elements	0.11	eV per atom
space-group type	I4mm

```
data_EuErSc
_cell_length_a 7.7465
_cell_length_b 7.7465
_cell_length_c 7.7465
_cell_angle_alpha 153.39
_cell_angle_beta 153.39
_cell_angle_gamma 37.99
_space_group_name_H-M_alt 'P 1'
_space_group_IT_number 1
loop_
_space_group_symop_operation_xyz
'x,y,z'
loop_
_atom_site_label
_atom_site_type_symbol
_atom_site_fract_x
_atom_site_fract_y
_atom_site_fract_z
Eu1 Eu 0.0000 0.0000 0.0000
Er1 Er 0.3155 0.3155 0.0000
Sc1 Sc 0.6705 0.6705 0.0000
```

=====

# 7
A geometry-optimized EuEr2Sc structure, computed with PBE.

ρ	7.2	Mg/m³
E	-24.95	eV for the cell shown
excess energy over the best structure of this formula in the dataset	111	meV/atom
energy of formation from the pure elements	0.19	eV per atom
space-group type	P4/mmm

```
data_EuEr2Sc
_cell_length_a 5.6869
_cell_length_b 5.6869
_cell_length_c 3.7896
_cell_angle_alpha 90.00
_cell_angle_beta 90.00
_cell_angle_gamma 90.00
_space_group_name_H-M_alt 'P 1'
_space_group_IT_number 1
loop_
_space_group_symop_operation_xyz
'x,y,z'
loop_
_atom_site_label
_atom_site_type_symbol
_atom_site_fract_x
_atom_site_fract_y
_atom_site_fract_z
Eu1 Eu 0.0000 0.0000 0.0000
Er1 Er 0.0000 0.5000 0.5000
Er2 Er 0.5000 0.0000 0.5000
Sc1 Sc 0.5000 0.5000 0.0000
```

=====

# 8
A geometry-optimized EuEr2Sc structure, computed with PBE.

ρ	7.2	Mg/m³
E	-25.00	eV for the cell shown
excess energy over the best structure of this formula in the dataset	101	meV/atom
energy of formation from the pure elements	0.18	eV per atom
space-group type	Fm-3m

```
data_EuEr2Sc
_cell_length_a 5.5792
_cell_length_b 5.5792
_cell_length_c 5.5792
_cell_angle_alpha 60.00
_cell_angle_beta 60.00
_cell_angle_gamma 60.00
_space_group_name_H-M_alt 'P 1'
_space_group_IT_number 1
loop_
_space_group_symop_operation_xyz
'x,y,z'
loop_
_atom_site_label
_atom_site_type_symbol
_atom_site_fract_x
_atom_site_fract_y
_atom_site_fract_z
Eu1 Eu 0.0000 0.0000 0.0000
Er1 Er 0.2500 0.2500 0.2500
Er2 Er 0.7500 0.7500 0.7500
Sc1 Sc 0.5000 0.5000 0.5000
```